Record 1
Here is a relaxed RbCaTa crystal from Alexandria via LeMat-Bulk. Energies are from PBE.

Lattice parameters (Å, degrees): 6.150 6.150 7.509 102.12 102.12 58.28
Positions (direct):
Rb  0.000  0.000  0.000
Rb  0.639  0.639  0.909
Ca  0.242  0.242  0.559
Ca  0.877  0.877  0.413
Ta  0.351  0.351  0.186
Ta  0.539  0.539  0.404

Results
DFT total energy = -3.88 eV/atom
Spin magnetization = 0.000 μB per atom
Space-group type = Cm (8)
ΔE to the lowest computed polymorph = 1.97 eV/f.u.
DOS at the Fermi energy = 5.50 states/eV per cell
Crystal system = monoclinic
ΔE_f = 1.06 eV/atom

---

Record 2
Here is a relaxed CeDy4Er crystal from Alexandria via LeMat-Bulk. Energies are from PBE.

Lattice parameters (Å, degrees): 8.767 8.767 6.158 96.62 96.62 23.41
Positions (direct):
Ce  0.000  0.000  0.000
Dy  0.167  0.167  0.387
Dy  0.335  0.335  0.110
Dy  0.665  0.665  0.890
Dy  0.833  0.833  0.613
Er  0.500  0.500  0.500

Results
DFT total energy = -4.79 eV/atom
Spin magnetization = 0.144 μB per atom
Space-group type = C2/m (12)
ΔE to the lowest computed polymorph = 0.00 eV/f.u.
DOS at the Fermi energy = 10.16 states/eV per cell
Crystal system = monoclinic
ΔE_f = 0.03 eV/atom

---

Record 3
Here is a relaxed KHPdCl6 crystal from Alexandria via LeMat-Bulk. Energies are from PBE.

Lattice parameters (Å, degrees): 6.042 6.302 7.576 65.43 67.45 81.33
Positions (direct):
K  0.000  0.000  0.000
H  0.000  0.500  0.500
Pd  0.500  0.500  0.500
Cl  0.197  0.565  0.782
Cl  0.212  0.330  0.458
Cl  0.431  0.866  0.264
Cl  0.569  0.134  0.736
Cl  0.788  0.670  0.542
Cl  0.803  0.435  0.218

Results
DFT total energy = -3.03 eV/atom
Spin magnetization = 0.000 μB per atom
Space-group type = P-1 (2)
Crystal system = triclinic

---

Record 4
Here is a relaxed TlS2Cl crystal from Alexandria via LeMat-Bulk. Energies are from PBE.

Lattice parameters (Å, degrees): 3.671 3.949 8.448 76.54 89.66 89.99
Positions (direct):
Tl  0.000  0.000  0.000
S  0.566  0.666  0.665
S  0.999  0.737  0.522
Cl  0.501  0.416  0.169

Results
DFT total energy = -3.38 eV/atom
Spin magnetization = 0.000 μB per atom
Uncorrected formation energy = -0.264 eV per atom
Space-group type = P1 (1)
ΔE to the lowest computed polymorph = 0.00 eV/f.u.
DOS at the Fermi energy = 1.01 states/eV per cell
Crystal system = triclinic

---

Record 5
Here is a relaxed CsBiTeI2 crystal from Alexandria via LeMat-Bulk. Energies are from PBE.

Lattice parameters (Å, degrees): 6.796 6.796 6.261 90.00 90.00 90.00
Positions (direct):
Cs  0.000  0.000  0.000
Bi  0.500  0.500  0.500
Te  0.000  0.000  0.500
I  0.000  0.500  0.000
I  0.500  0.000  0.000

Results
DFT total energy = -1.61 eV/atom
Spin magnetization = 0.000 μB per atom
Uncorrected formation energy = 0.581 eV per atom
Space-group type = P4/mmm (123)
ΔE to the lowest computed polymorph = 6.10 eV/f.u.
DOS at the Fermi energy = 9.10 states/eV per cell
Crystal system = tetragonal

---

Record 6
Here is a relaxed CsPdF3 crystal from Alexandria via LeMat-Bulk. Energies are from PBE.

Lattice parameters (Å, degrees): 4.412 4.412 4.412 90.00 90.00 90.00
Positions (direct):
Cs  0.000  0.000  0.000
Pd  0.500  0.500  0.500
F  0.000  0.500  0.500
F  0.500  0.000  0.500
F  0.500  0.500  0.000

Results
DFT total energy = -4.18 eV/atom
Spin magnetization = 0.000 μB per atom
Uncorrected formation energy = -1.852 eV per atom
Space-group type = Pm-3m (221)
DOS at the Fermi energy = 1.28 states/eV per cell
Crystal system = cubic